(1)
Density functional theory data (PBE) for a relaxed SmCuSi crystal.

## Properties
The value obtained for the density of states at the Fermi level is 0.7723 states/eV/atom. The uncorrected formation energy is -0.612 eV/atom. Its calculated volume is 59.8 Å³/f.u. The space group is P-6m2.

POSCAR file:
```
SmCuSi
1.0
4.095 0.000 0.000
-2.047 3.546 0.000
0.000 0.000 4.119
Sm Cu Si
1 1 1
direct
0.000 0.000 0.000
0.333 0.667 0.500
0.667 0.333 0.500
```

---

(2)
Density functional theory data (PBE) for a relaxed Ta2AgRh crystal.

## Properties
The value obtained for the density of states at the Fermi level is 0.8798 states/eV/atom. Its calculated volume is 67.0 Å³/f.u. The value obtained for the energy of formation is 0.0147 eV per atom. The space group is Pm.

POSCAR file:
```
Ta2AgRh
1.0
2.847 0.000 0.000
0.000 4.672 0.000
-0.263 0.000 5.040
Ta Ag Rh
2 1 1
direct
0.000 0.000 0.000
0.122 0.500 0.657
0.569 0.500 0.167
0.543 0.000 0.507
```

---

(3)
Density functional theory data (PBE) for a relaxed BeRhPb2 crystal.

## Properties
The value obtained for the density of states at the Fermi level is 0.7382 states/eV/atom. Its calculated volume is 82.1 Å³/f.u. The value obtained for the energy of formation is 0.6085 eV per atom. The space group is F-43m.

POSCAR file:
```
BeRhPb2
1.0
0.000 3.450 3.450
3.450 0.000 3.450
3.450 3.450 0.000
Be Rh Pb
1 1 2
direct
0.000 0.000 0.000
0.750 0.750 0.750
0.250 0.250 0.250
0.500 0.500 0.500
```

---

(4)
Density functional theory data (PBE) for a relaxed Rb2Pm2MnS6 crystal.

## Properties
The uncorrected formation energy is -1.380 eV/atom. Its calculated volume is 316.1 Å³/f.u. The space group is C2/m.

POSCAR file:
```
Rb2Pm2MnS6
1.0
3.449 -5.850 0.000
3.449 5.850 0.000
-2.385 0.000 7.833
Rb Pm Mn S
2 2 1 6
direct
0.173 0.827 0.000
0.827 0.173 0.000
0.333 0.667 0.500
0.667 0.333 0.500
0.000 0.000 0.500
0.065 0.357 0.682
0.225 0.225 0.321
0.357 0.065 0.682
0.643 0.935 0.318
0.775 0.775 0.679
0.935 0.643 0.318
```

---

(5)
Density functional theory data (PBE) for a relaxed AcAlPbO4 crystal.

## Properties
The value obtained for the density of states at the Fermi level is 0.0000 states/eV/atom. The uncorrected formation energy is -2.517 eV/atom. Its calculated volume is 135.8 Å³/f.u. The space group is P2_1/m.

POSCAR file:
```
AcAlPbO4
1.0
6.426 0.000 0.000
0.000 5.726 0.000
-2.208 0.000 7.381
Ac Al Pb O
2 2 2 8
direct
0.152 0.250 0.387
0.848 0.750 0.613
0.366 0.750 0.643
0.634 0.250 0.357
0.486 0.250 0.837
0.514 0.750 0.163
0.203 0.505 0.665
0.203 0.995 0.665
0.381 0.250 0.189
0.405 0.750 0.424
0.595 0.250 0.576
0.619 0.750 0.811
0.797 0.005 0.335
0.797 0.495 0.335
```

---

(6)
Density functional theory data (PBE) for a relaxed Y3P crystal.

## Properties
The energy above the lowest structure with this stoichiometry is 150.3 kJ/mol of formula units. The value obtained for the density of states at the Fermi level is 0.9777 states/eV/atom. Its calculated volume is 99.2 Å³/f.u. The value obtained for the energy of formation is -0.3162 eV per atom. The space group is P6_3/mmc.

POSCAR file:
```
Y3P
1.0
6.974 0.000 0.000
-3.487 6.040 0.000
0.000 0.000 4.712
Y P
6 2
direct
0.181 0.363 0.250
0.181 0.819 0.250
0.363 0.181 0.750
0.637 0.819 0.250
0.819 0.181 0.750
0.819 0.637 0.750
0.333 0.667 0.750
0.667 0.333 0.250
```

---

(7)
Density functional theory data (PBE) for a relaxed IrCl crystal.

## Properties
The energy above the lowest structure with this stoichiometry is 155.1 kJ/mol of formula units. The value obtained for the density of states at the Fermi level is 0.8575 states/eV/atom. The uncorrected formation energy is 0.938 eV/atom. Its calculated volume is 50.0 Å³/f.u. The space group is P-3m1.

POSCAR file:
```
IrCl
1.0
4.179 0.000 0.000
-2.090 3.619 0.000
0.000 0.000 19.818
Ir Cl
6 6
direct
0.000 0.000 0.167
0.000 0.000 0.833
0.333 0.667 0.167
0.333 0.667 0.500
0.667 0.333 0.500
0.667 0.333 0.833
0.000 0.000 0.413
0.000 0.000 0.587
0.333 0.667 0.746
0.333 0.667 0.920
0.667 0.333 0.080
0.667 0.333 0.254
```

---

(8)
Density functional theory data (PBE) for a relaxed CaZr2 crystal.

## Properties
The energy above the lowest structure with this stoichiometry is 93.5 kJ/mol of formula units. The value obtained for the density of states at the Fermi level is 1.7512 states/eV/atom. Its calculated volume is 94.8 Å³/f.u. The value obtained for the energy of formation is 0.4757 eV per atom. The space group is I4/mcm.

POSCAR file:
```
CaZr2
1.0
-2.813 2.813 5.989
2.813 -2.813 5.989
2.813 2.813 -5.989
Ca Zr
2 4
direct
0.250 0.250 0.000
0.750 0.750 0.000
0.172 0.672 0.845
0.328 0.172 0.500
0.672 0.828 0.500
0.828 0.328 0.155
```

---

(9)
Density functional theory data (PBE) for a relaxed Ho6Ni2Os crystal.

## Properties
The value obtained for the density of states at the Fermi level is 0.9808 states/eV/atom. Its calculated volume is 207.7 Å³/f.u. The value obtained for the energy of formation is -0.2888 eV per atom. The space group is Immm.

POSCAR file:
```
Ho6Ni2Os
1.0
-4.672 4.673 4.757
4.672 -4.673 4.757
4.672 4.673 -4.757
Ho Ni Os
12 4 2
direct
0.058 0.242 0.816
0.171 0.475 0.304
0.171 0.867 0.696
0.325 0.239 0.564
0.325 0.761 0.085
0.426 0.242 0.184
0.574 0.758 0.816
0.675 0.239 0.915
0.675 0.761 0.436
0.829 0.133 0.304
0.829 0.525 0.696
0.942 0.758 0.184
0.158 0.500 0.658
0.380 0.880 0.500
0.620 0.120 0.500
0.842 0.500 0.342
0.000 0.000 0.000
0.500 0.500 0.000
```

---

(10)
Density functional theory data (PBE) for a relaxed NdThCdOs crystal.

## Properties
The value obtained for the density of states at the Fermi level is 0.6513 states/eV/atom. Its calculated volume is 99.5 Å³/f.u. The value obtained for the energy of formation is -0.0593 eV per atom. The space group is F-43m.

POSCAR file:
```
NdThCdOs
1.0
0.000 3.678 3.678
3.678 0.000 3.678
3.678 3.678 0.000
Nd Th Cd Os
1 1 1 1
direct
0.000 0.000 0.000
0.500 0.500 0.500
0.750 0.750 0.750
0.250 0.250 0.250
```

---

(11)
Density functional theory data (PBE) for a relaxed RbSr2CaI crystal.

## Properties
The value obtained for the density of states at the Fermi level is 1.2539 states/eV/atom. The uncorrected formation energy is -0.109 eV/atom. Its calculated volume is 292.1 Å³/f.u. The space group is P4/mmm.

POSCAR file:
```
RbSr2CaI
1.0
6.791 0.000 0.000
0.000 6.791 0.000
0.000 0.000 6.335
Rb Sr Ca I
1 2 1 1
direct
0.000 0.000 0.000
0.000 0.500 0.500
0.500 0.000 0.500
0.500 0.500 0.000
0.500 0.500 0.500
```

---

(12)
Density functional theory data (PBE) for a relaxed PuCoN crystal.

## Properties
The value obtained for the density of states at the Fermi level is 2.5355 states/eV/atom. The uncorrected formation energy is -0.039 eV/atom. Its calculated volume is 41.1 Å³/f.u. The space group is Cmcm.

POSCAR file:
```
PuCoN
1.0
2.200 -4.101 0.000
2.200 4.101 0.000
0.000 0.000 4.560
Pu Co N
2 2 2
direct
0.166 0.834 0.750
0.834 0.166 0.250
0.500 0.500 0.000
0.500 0.500 0.500
0.107 0.893 0.250
0.893 0.107 0.750
```